10
Lattice="8.135 0.000 0.000 0.000 8.135 0.000 4.067 4.067 5.986" Properties=species:S:1:pos:R:3 comment="Cs2ZnI6O PBE optimized geometry" energy_ev_per_atom=-2.3038 m_tot_mub_per_fu=0.0 e_form_raw_ev_per_atom=-0.580 pbc="T T T"
Cs 8.135 4.067 2.993
Cs 4.067 8.135 2.993
I 4.067 4.067 3.472
I 8.135 8.135 2.514
I 2.312 2.312 0.000
I 5.823 5.823 0.000
I 5.823 2.312 0.000
I 2.312 5.823 0.000
Zn 0.000 0.000 0.000
O 4.067 4.067 0.000



4
Lattice="3.381 0.000 0.000 0.000 3.381 0.000 0.000 0.000 6.334" Properties=species:S:1:pos:R:3 comment="AsRu2Pb PBE optimized geometry" energy_ev_per_atom=-6.4315 e_form_ev_per_atom=0.296 m_tot_mub_per_fu=0.9 pbc="T T T"
Pb 1.691 1.691 4.921
Ru 0.000 0.000 0.113
Ru 1.691 1.691 1.871
As 0.000 0.000 2.596



18
Lattice="-2.056 6.678 -2.826 -8.086 -3.801 -3.100 2.191 0.071 8.624" Properties=species:S:1:pos:R:3 comment="CeNdSi PBE optimized geometry" energy_ev_per_atom=-5.8838 m_tot_mub_per_fu=0.5 e_form_raw_ev_per_atom=-0.509 pbc="T T T"
Ce -1.990 6.464 -2.736
Ce -6.033 4.563 -4.286
Ce -2.563 2.160 4.033
Ce -5.988 2.737 -2.160
Ce -1.947 4.637 -0.611
Ce -6.604 0.260 2.484
Nd -0.587 4.933 2.694
Nd -7.229 -2.425 0.190
Nd -6.734 -0.676 -3.245
Nd -0.500 1.296 6.928
Nd -3.185 -0.525 1.739
Nd -4.630 3.032 1.145
Si -1.379 4.151 5.718
Si -7.614 2.181 -4.452
Si -1.481 2.194 1.171
Si -5.455 -2.542 2.921
Si -1.413 -0.642 4.471
Si -5.523 0.294 -0.378